Entry 1:
# SrAlSN2

A relaxed SrAlSN2 crystal (PBE, Alexandria via LeMat-Bulk).

Calculated values
offset from the most stable computed form: 1619 meV per atom
magnetization: 0.96 μB per atom
uncorrected formation energy: 1.409 eV/atom
theoretical density: 2.11 Mg/m³

Geometry as POSCAR:
```
SrAlSN2
1.0
4.841 0.000 0.000
0.000 4.841 0.000
0.000 0.000 5.852
N S Al Sr
2 1 1 1
direct
0.000 0.500 0.000
0.500 0.000 0.000
0.000 0.000 0.500
0.500 0.500 0.500
0.000 0.000 0.000
```

***

Entry 2:
# Mg2Os4Rh

A relaxed Mg2Os4Rh crystal (PBE, Alexandria via LeMat-Bulk).

Calculated values
DFT total energy: -0.434 Ry/atom
magnetization: 0.62 μB per atom
theoretical density: 10.49 Mg/m³

Geometry as POSCAR:
```
Mg2Os4Rh
1.0
-2.893 3.569 0.492
-3.224 -2.846 1.689
-0.704 1.408 7.348
Os Mg Rh
4 2 1
direct
0.816 0.816 0.367
0.000 0.500 0.000
0.184 0.184 0.633
0.500 0.000 0.000
0.622 0.622 0.756
0.378 0.378 0.244
0.000 0.000 0.000
```

***

Entry 3:
# KLa2AlO5

A relaxed KLa2AlO5 crystal (PBE, Alexandria via LeMat-Bulk).

Calculated values
magnetization: 0.00 μB per atom
uncorrected formation energy: -2.984 eV/atom
theoretical density: 5.20 Mg/m³

Geometry as POSCAR:
```
KLa2AlO5
1.0
-5.404 3.156 3.112
-2.760 -6.236 1.530
6.834 1.503 2.495
O La K Al
10 4 2 2
direct
0.992 0.492 0.719
0.273 0.773 0.281
0.492 0.727 0.719
0.227 0.992 0.719
0.500 0.500 0.000
0.008 0.508 0.281
0.508 0.273 0.281
0.773 0.008 0.281
0.000 0.000 0.000
0.727 0.227 0.719
0.314 0.814 0.000
0.814 0.686 0.000
0.186 0.314 0.000
0.686 0.186 0.000
0.750 0.750 0.500
0.250 0.250 0.500
0.250 0.750 0.500
0.750 0.250 0.500
```

***

Entry 4:
# LaTeO2

A relaxed LaTeO2 crystal (PBE, Alexandria via LeMat-Bulk).

Calculated values
offset from the most stable computed form: 623 meV per atom
magnetization: 0.00 μB per atom
uncorrected formation energy: -1.573 eV/atom
theoretical density: 5.48 Mg/m³

Geometry as POSCAR:
```
LaTeO2
1.0
5.801 0.000 0.000
0.000 5.801 0.000
2.901 2.901 5.378
O Te La
4 2 2
direct
0.875 0.928 0.750
0.072 0.625 0.250
0.678 0.125 0.250
0.375 0.322 0.750
0.250 0.750 0.500
0.500 0.500 0.000
0.750 0.250 0.500
0.000 0.000 0.000
```

***

Entry 5:
# HoEr2Ti

A relaxed HoEr2Ti crystal (PBE, Alexandria via LeMat-Bulk).

Calculated values
offset from the most stable computed form: 255 meV per atom
magnetization: 0.48 μB per atom
theoretical density: 8.14 Mg/m³

Geometry as POSCAR:
```
HoEr2Ti
1.0
-2.373 -1.541 -1.761
0.731 -1.347 -2.960
2.094 -10.988 3.640
Er Ti Ho
2 1 1
direct
0.084 0.084 0.747
0.916 0.916 0.253
0.000 0.000 0.000
0.500 0.500 0.500
```

***

Entry 6:
# Rb2NpScTe4

A relaxed Rb2NpScTe4 crystal (PBE, Alexandria via LeMat-Bulk).

Calculated values
magnetization: 0.50 μB per atom
uncorrected formation energy: -1.044 eV/atom
theoretical density: 5.42 Mg/m³

Geometry as POSCAR:
```
Rb2NpScTe4
1.0
4.469 0.000 0.000
0.000 7.773 0.147
0.000 -2.734 8.450
Te Rb Sc Np
4 2 1 1
direct
0.500 0.246 0.197
0.500 0.754 0.803
0.000 0.717 0.192
0.000 0.283 0.808
0.500 0.000 0.500
0.000 0.500 0.500
0.500 0.500 0.000
0.000 0.000 0.000
```

***

Q: Which formula does entry 1 have?
A: SrAlSN2